(1)
Crystalline SrZnHg2 at its relaxed geometry. Source: the Alexandria database, functional PBE.

```
SrZnHg2
1.0
5.109 0.000 0.000
0.000 5.109 0.000
0.000 0.000 19.019
Sr Zn Hg
4 4 8
direct
0.000 0.000 0.000
0.000 0.500 0.250
0.500 0.000 0.750
0.500 0.500 0.500
0.000 0.000 0.500
0.000 0.500 0.750
0.500 0.000 0.250
0.500 0.500 0.000
0.144 0.250 0.625
0.250 0.644 0.875
0.250 0.856 0.375
0.356 0.250 0.125
0.644 0.750 0.125
0.750 0.144 0.375
0.750 0.356 0.875
0.856 0.750 0.625
```

Results
The symmetry is I-42d.



(2)
Crystalline NdScHgPb at its relaxed geometry. Source: the Alexandria database, functional PBE.

```
NdScHgPb
1.0
7.497 0.000 0.000
0.000 7.497 0.000
0.000 0.000 7.497
Nd Sc Hg Pb
4 4 4 4
direct
0.000 0.000 0.000
0.000 0.500 0.500
0.500 0.000 0.500
0.500 0.500 0.000
0.000 0.000 0.500
0.000 0.500 0.000
0.500 0.000 0.000
0.500 0.500 0.500
0.250 0.250 0.250
0.250 0.750 0.750
0.750 0.250 0.750
0.750 0.750 0.250
0.250 0.250 0.750
0.250 0.750 0.250
0.750 0.250 0.250
0.750 0.750 0.750
```

Results
The symmetry is F-43m.



(3)
Crystalline Ba2Mg2As at its relaxed geometry. Source: the Alexandria database, functional PBE.

```
Ba2Mg2As
1.0
4.160 0.000 0.000
0.000 4.160 0.000
0.000 0.000 21.153
Ba Mg As
4 4 2
direct
0.000 0.000 0.082
0.000 0.000 0.918
0.500 0.500 0.418
0.500 0.500 0.582
0.000 0.500 0.250
0.000 0.500 0.750
0.500 0.000 0.250
0.500 0.000 0.750
0.000 0.000 0.500
0.500 0.500 0.000
```

Results
The symmetry is I4/mmm. The calculation puts the energy above the most stable polymorph in this dataset at 0.0 meV/atom.



(4)
Crystalline LiYTc at its relaxed geometry. Source: the Alexandria database, functional PBE.

```
LiYTc
1.0
4.746 0.000 0.000
-2.373 4.110 0.000
0.000 0.000 2.900
Li Y Tc
1 1 1
direct
0.000 0.000 0.000
0.333 0.667 0.499
0.667 0.333 0.998
```

Results
The symmetry is P3m1. The calculation puts the energy above the most stable polymorph in this dataset at 0.0 meV/atom.



| no. | formation energy (kJ/mol of formula units) | N(E_F) (states/eV per cell) |
| --- | --- | --- |
| 1 | -59 | 11.67 |
| 2 | -159 | 20.30 |
| 3 | -180 | 4.99 |
| 4 | 92 | 2.12 |